No. 1
{
  "formula": "Y2AlSi2",
  "functional": "GGA-PBEsol",
  "state": "relaxed",
  "lattice_angstrom": [[-2.089, -3.307, 1.087], [2.416, -2.620, 4.254], [-2.166, 0.547, 5.080]],
  "species": ["Si", "Al", "Y", "Si", "Y"],
  "frac_coords": [[0.500, 0.289, 0.711], [0.000, 0.000, 0.000], [0.790, 0.710, 0.710], [0.500, 0.711, 0.289], [0.210, 0.290, 0.290]]
}

***

No. 2
{
  "formula": "AlZn2Si",
  "functional": "GGA-PBEsol",
  "state": "relaxed",
  "lattice_angstrom": [[-0.371, 1.423, 2.156], [-4.229, 1.621, -1.797], [-2.319, -3.750, 2.075]],
  "species": ["Al", "Zn", "Si", "Zn"],
  "frac_coords": [[0.500, 0.500, 0.500], [0.000, 0.000, 0.500], [0.500, 0.000, 0.000], [0.000, 0.500, 0.000]]
}

***

no.,final energy (eV/atom),formation energy without anion corrections (meV/atom)
1,-6.644,-798
2,-3.038,212